(1)
Compound: KSnIr
Source: OQMD
Functional: PBE
Structure: optimized geometry

SG   F-43m (216)

Cell and atoms, written as POSCAR:
```
KSnIr
1.0
1.5018 -3.1847 3.2274
-1.5768 -4.5051 -0.1774
2.9565 -3.5152 -1.3100
Ir K Sn
1 1 1
Direct
0.0000 0.0000 0.0000
0.2500 0.2500 0.2500
0.7500 0.7500 0.7500
```



(2)
Compound: KSnIr
Source: OQMD
Functional: PBE
Structure: optimized geometry

SG   F-43m (216)

Cell and atoms, written as POSCAR:
```
KSnIr
1.0
0.0000 3.4626 3.4626
3.4626 0.0000 3.4626
3.4626 3.4626 0.0000
Ir K Sn
1 1 1
Direct
0.2500 0.2500 0.2500
0.0000 0.0000 0.0000
0.7500 0.7500 0.7500
```



(3)
Compound: KTbIr
Source: OQMD
Functional: PBE
Structure: optimized geometry

SG   F-43m (216)

Cell and atoms, written as POSCAR:
```
KTbIr
1.0
2.4591 1.4198 4.0157
-2.4591 1.4198 4.0157
0.0000 -2.8396 4.0157
Ir K Tb
1 1 1
Direct
0.0000 0.0000 0.0000
0.7500 0.7500 0.7500
0.2500 0.2500 0.2500
```



no.,total energy (eV per cell),total magnetization (μB/cell),relative energy among the computed polymorphs (kJ/mol of formula units)
1,-12.56,0.00,0
2,-9.62,0.01,284
3,-13.77,0.03,0